[1]
TaZn2Si: relaxed, GGA-PBE.

a = 2.788 Å, b = 2.788 Å, c = 8.356 Å
α = 90.00°, β = 90.00°, γ = 102.12°
Element x y z (fractional)
Ta 0.000 0.000 0.000
Zn 0.000 0.000 0.493
Zn 0.500 0.500 0.740
Si 0.500 0.500 0.237

Output
* D(E_F): 1.69 states/eV per cell
* raw total energy: -4.84 eV/atom

=====

[2]
LaY2Fe2: relaxed, GGA-PBE.

a = 6.289 Å, b = 6.289 Å, c = 6.289 Å
α = 133.70°, β = 133.70°, γ = 67.55°
Element x y z (fractional)
La 0.000 0.000 0.000
Y 0.342 0.342 0.000
Y 0.658 0.658 0.000
Fe 0.250 0.750 0.500
Fe 0.750 0.250 0.500

Output
* ΔE_f: 2.321 eV/f.u.
* D(E_F): 6.69 states/eV per cell
* energy above the lowest structure with this stoichiometry: 366.1 meV per atom

=====

[3]
CsK3Ni2H8: relaxed, GGA-PBE.

a = 5.713 Å, b = 5.713 Å, c = 9.655 Å
α = 90.00°, β = 90.00°, γ = 120.00°
Element x y z (fractional)
Cs 0.000 0.000 0.000
K 0.000 0.000 0.500
K 0.333 0.667 0.291
K 0.667 0.333 0.709
Ni 0.333 0.667 0.714
Ni 0.667 0.333 0.286
H 0.176 0.351 0.749
H 0.176 0.824 0.749
H 0.333 0.667 0.553
H 0.351 0.176 0.251
H 0.649 0.824 0.749
H 0.667 0.333 0.447
H 0.824 0.176 0.251
H 0.824 0.649 0.251

Output
* D(E_F): 4.66 states/eV per cell
* raw total energy: -2.99 eV/atom

=====

[4]
Ba3H12Ir2: relaxed, GGA-PBE.

a = 5.478 Å, b = 5.478 Å, c = 8.812 Å
α = 90.00°, β = 90.00°, γ = 120.00°
Element x y z (fractional)
Ba 0.000 0.000 0.000
Ba 0.333 0.667 0.641
Ba 0.667 0.333 0.359
H 0.053 0.526 0.124
H 0.184 0.368 0.346
H 0.184 0.816 0.346
H 0.368 0.184 0.654
H 0.474 0.526 0.124
H 0.474 0.947 0.124
H 0.526 0.053 0.876
H 0.526 0.474 0.876
H 0.632 0.816 0.346
H 0.816 0.184 0.654
H 0.816 0.632 0.654
H 0.947 0.474 0.876
Ir 0.333 0.667 0.239
Ir 0.667 0.333 0.761

Output
* D(E_F): 0.00 states/eV per cell
* energy above the lowest structure with this stoichiometry: 0.0 meV per atom

=====

[5]
CaMg4Cr: relaxed, GGA-PBE.

a = 5.898 Å, b = 5.898 Å, c = 5.898 Å
α = 60.00°, β = 60.00°, γ = 60.00°
Element x y z (fractional)
Ca 0.000 0.000 0.000
Mg 0.376 0.376 0.376
Mg 0.376 0.376 0.873
Mg 0.376 0.873 0.376
Mg 0.873 0.376 0.376
Cr 0.750 0.750 0.750

Output
* ΔE_f: 1.192 eV/f.u.
* D(E_F): 2.57 states/eV per cell

=====

[6]
Ta2PbSe: relaxed, GGA-PBE.

a = 3.117 Å, b = 4.896 Å, c = 5.663 Å
α = 90.00°, β = 105.88°, γ = 90.00°
Element x y z (fractional)
Ta 0.000 0.000 0.000
Ta 0.384 0.500 0.777
Pb 0.647 0.500 0.297
Se 0.310 0.000 0.618

Output
* D(E_F): 2.12 states/eV per cell
* energy above the lowest structure with this stoichiometry: 234.6 meV per atom

=====

[7]
Mo4PbBr: relaxed, GGA-PBE.

a = 5.435 Å, b = 5.435 Å, c = 5.435 Å
α = 60.00°, β = 60.00°, γ = 60.00°
Element x y z (fractional)
Mo 0.379 0.379 0.379
Mo 0.379 0.379 0.862
Mo 0.379 0.862 0.379
Mo 0.862 0.379 0.379
Pb 0.000 0.000 0.000
Br 0.750 0.750 0.750

Output
* D(E_F): 6.65 states/eV per cell
* raw total energy: -7.21 eV/atom

=====

[8]
TmCdPd: relaxed, GGA-PBE.

a = 4.693 Å, b = 4.693 Å, c = 3.396 Å
α = 90.00°, β = 90.00°, γ = 120.00°
Element x y z (fractional)
Tm 0.000 0.000 0.000
Cd 0.333 0.667 0.500
Pd 0.667 0.333 0.500

Output
* ΔE_f: -1.620 eV/f.u.
* D(E_F): 2.39 states/eV per cell